## i
DFT (PBE) results for AsPAuC2 after structural relaxation.

Structure (CIF):
```
data_AsPAuC2
_cell_length_a 11.146
_cell_length_b 3.823
_cell_length_c 4.345
_cell_angle_alpha 90.00
_cell_angle_beta 94.33
_cell_angle_gamma 90.00
_space_group_name_H-M_alt 'C 1 m 1'
_space_group_IT_number 8
_space_group_name_Hall 'C -2y'
loop_
_atom_site_label
_atom_site_type_symbol
_atom_site_fract_x
_atom_site_fract_y
_atom_site_fract_z
_atom_site_occupancy
As1 As 0.000 0.000 0.000 1
P1 P 0.140 0.000 0.584 1
Au1 Au 0.340 0.000 0.793 1
C1 C 0.083 0.325 0.320 1
```

crystal system: monoclinic
N(E_F): 1.9 states/eV/cell


## ii
DFT (PBE) results for AsPAuC2 after structural relaxation.

Structure (CIF):
```
data_AsPAuC2
_cell_length_a 2.906
_cell_length_b 2.989
_cell_length_c 15.763
_cell_angle_alpha 90.00
_cell_angle_beta 90.00
_cell_angle_gamma 90.00
_space_group_name_H-M_alt 'I m m 2'
_space_group_IT_number 44
_space_group_name_Hall 'I 2 -2'
loop_
_atom_site_label
_atom_site_type_symbol
_atom_site_fract_x
_atom_site_fract_y
_atom_site_fract_z
_atom_site_occupancy
As1 As 0.000 0.000 0.000 1
P1 P 0.000 0.000 0.658 1
Au1 Au 0.000 0.500 0.852 1
C1 C 0.000 0.500 0.088 1
C2 C 0.000 0.500 0.719 1
```

crystal system: orthorhombic
N(E_F): 3.0 states/eV/cell


i is favored, and the nearest alternative lies 0.124 eV/atom above it.


## i
DFT (PBE) results for AsPAuC2 after structural relaxation.

Structure (CIF):
```
data_AsPAuC2
_cell_length_a 2.988
_cell_length_b 2.890
_cell_length_c 8.251
_cell_angle_alpha 90.00
_cell_angle_beta 96.18
_cell_angle_gamma 90.00
_space_group_name_H-M_alt 'P 1 m 1'
_space_group_IT_number 6
_space_group_name_Hall 'P -2y'
loop_
_atom_site_label
_atom_site_type_symbol
_atom_site_fract_x
_atom_site_fract_y
_atom_site_fract_z
_atom_site_occupancy
As1 As 0.000 0.000 0.000 1
P1 P 0.007 0.500 0.648 1
Au1 Au 0.404 0.000 0.325 1
C1 C 0.041 0.000 0.768 1
C2 C 0.469 0.500 0.519 1
```

crystal system: monoclinic
N(E_F): 1.8 states/eV/cell


## ii
DFT (PBE) results for AsPAuC2 after structural relaxation.

Structure (CIF):
```
data_AsPAuC2
_cell_length_a 3.058
_cell_length_b 3.925
_cell_length_c 6.627
_cell_angle_alpha 99.24
_cell_angle_beta 90.20
_cell_angle_gamma 112.90
_space_group_name_H-M_alt 'P 1'
_space_group_IT_number 1
_space_group_name_Hall 'P 1'
loop_
_atom_site_label
_atom_site_type_symbol
_atom_site_fract_x
_atom_site_fract_y
_atom_site_fract_z
_atom_site_occupancy
As1 As 0.000 0.000 0.000 1
P1 P 0.327 0.660 0.636 1
Au1 Au 0.318 0.645 0.274 1
C1 C 0.555 0.115 0.811 1
C2 C 0.741 0.485 0.753 1
```

crystal system: triclinic
N(E_F): 1.5 states/eV/cell


## iii
DFT (PBE) results for AsPAuC2 after structural relaxation.

Structure (CIF):
```
data_AsPAuC2
_cell_length_a 2.855
_cell_length_b 3.842
_cell_length_c 6.861
_cell_angle_alpha 90.00
_cell_angle_beta 90.00
_cell_angle_gamma 90.00
_space_group_name_H-M_alt 'P m m 2'
_space_group_IT_number 25
_space_group_name_Hall 'P 2 -2'
loop_
_atom_site_label
_atom_site_type_symbol
_atom_site_fract_x
_atom_site_fract_y
_atom_site_fract_z
_atom_site_occupancy
As1 As 0.000 0.000 0.000 1
P1 P 0.000 0.000 0.420 1
Au1 Au 0.000 0.500 0.704 1
C1 C 0.000 0.327 0.228 1
```

crystal system: orthorhombic
N(E_F): 1.6 states/eV/cell


ii is favored, and the nearest alternative lies 0.084 eV/atom above it.


## i
DFT (PBE) results for AsPAuC after structural relaxation.

Structure (CIF):
```
data_AsPAuC
_cell_length_a 4.249
_cell_length_b 2.930
_cell_length_c 6.652
_cell_angle_alpha 90.00
_cell_angle_beta 108.58
_cell_angle_gamma 90.00
_space_group_name_H-M_alt 'P 1 m 1'
_space_group_IT_number 6
_space_group_name_Hall 'P -2y'
loop_
_atom_site_label
_atom_site_type_symbol
_atom_site_fract_x
_atom_site_fract_y
_atom_site_fract_z
_atom_site_occupancy
As1 As 0.000 0.000 0.000 1
P1 P 0.772 0.500 0.539 1
Au1 Au 0.578 0.500 0.156 1
C1 C 0.846 0.000 0.688 1
```

crystal system: monoclinic
N(E_F): 1.3 states/eV/cell


## ii
DFT (PBE) results for AsPAuC after structural relaxation.

Structure (CIF):
```
data_AsPAuC
_cell_length_a 14.476
_cell_length_b 2.888
_cell_length_c 3.740
_cell_angle_alpha 90.00
_cell_angle_beta 101.74
_cell_angle_gamma 90.00
_space_group_name_H-M_alt 'C 1 m 1'
_space_group_IT_number 8
_space_group_name_Hall 'C -2y'
loop_
_atom_site_label
_atom_site_type_symbol
_atom_site_fract_x
_atom_site_fract_y
_atom_site_fract_z
_atom_site_occupancy
As1 As 0.000 0.000 0.000 1
P1 P 0.384 0.500 0.368 1
Au1 Au 0.173 0.000 0.233 1
C1 C 0.319 0.000 0.321 1
```

crystal system: monoclinic
N(E_F): 3.9 states/eV/cell


## iii
DFT (PBE) results for AsPAuC after structural relaxation.

Structure (CIF):
```
data_AsPAuC
_cell_length_a 4.056
_cell_length_b 2.899
_cell_length_c 12.260
_cell_angle_alpha 90.00
_cell_angle_beta 90.00
_cell_angle_gamma 90.00
_space_group_name_H-M_alt 'A m m 2'
_space_group_IT_number 38
_space_group_name_Hall 'A 2 -2'
loop_
_atom_site_label
_atom_site_type_symbol
_atom_site_fract_x
_atom_site_fract_y
_atom_site_fract_z
_atom_site_occupancy
As1 As 0.000 0.000 0.000 1
P1 P 0.000 0.000 0.738 1
Au1 Au 0.500 0.000 0.864 1
C1 C 0.000 0.000 0.157 1
```

crystal system: orthorhombic
N(E_F): 2.2 states/eV/cell


iii is favored, and the nearest alternative lies 0.050 eV/atom above it.


## i
DFT (PBE) results for AsPAuC after structural relaxation.

Structure (CIF):
```
data_AsPAuC
_cell_length_a 3.042
_cell_length_b 4.003
_cell_length_c 6.254
_cell_angle_alpha 90.00
_cell_angle_beta 104.23
_cell_angle_gamma 90.00
_space_group_name_H-M_alt 'P 1 m 1'
_space_group_IT_number 6
_space_group_name_Hall 'P -2y'
loop_
_atom_site_label
_atom_site_type_symbol
_atom_site_fract_x
_atom_site_fract_y
_atom_site_fract_z
_atom_site_occupancy
As1 As 0.000 0.000 0.000 1
P1 P 0.260 0.000 0.527 1
Au1 Au 0.143 0.500 0.285 1
C1 C 0.404 0.000 0.810 1
```

crystal system: monoclinic
N(E_F): 1.4 states/eV/cell


## ii
DFT (PBE) results for AsPAuC after structural relaxation.

Structure (CIF):
```
data_AsPAuC
_cell_length_a 3.476
_cell_length_b 2.881
_cell_length_c 13.891
_cell_angle_alpha 90.00
_cell_angle_beta 90.00
_cell_angle_gamma 90.00
_space_group_name_H-M_alt 'A m m 2'
_space_group_IT_number 38
_space_group_name_Hall 'A 2 -2'
loop_
_atom_site_label
_atom_site_type_symbol
_atom_site_fract_x
_atom_site_fract_y
_atom_site_fract_z
_atom_site_occupancy
As1 As 0.000 0.000 0.000 1
P1 P 0.500 0.000 0.864 1
Au1 Au 0.500 0.000 0.145 1
C1 C 0.500 0.000 0.296 1
```

crystal system: orthorhombic
N(E_F): 3.4 states/eV/cell


## iii
DFT (PBE) results for AsPAuC after structural relaxation.

Structure (CIF):
```
data_AsPAuC
_cell_length_a 8.628
_cell_length_b 2.894
_cell_length_c 5.748
_cell_angle_alpha 90.00
_cell_angle_beta 96.63
_cell_angle_gamma 90.00
_space_group_name_H-M_alt 'C 1 m 1'
_space_group_IT_number 8
_space_group_name_Hall 'C -2y'
loop_
_atom_site_label
_atom_site_type_symbol
_atom_site_fract_x
_atom_site_fract_y
_atom_site_fract_z
_atom_site_occupancy
As1 As 0.000 0.000 0.000 1
P1 P 0.300 0.500 0.307 1
Au1 Au 0.075 0.000 0.592 1
C1 C 0.181 0.000 0.247 1
```

crystal system: monoclinic
N(E_F): 2.3 states/eV/cell


iii is favored, and the nearest alternative lies 0.057 eV/atom above it.


## i
DFT (PBE) results for AsPAuC after structural relaxation.

Structure (CIF):
```
data_AsPAuC
_cell_length_a 2.910
_cell_length_b 2.911
_cell_length_c 8.508
_cell_angle_alpha 80.48
_cell_angle_beta 80.29
_cell_angle_gamma 60.15
_space_group_name_H-M_alt 'P 1'
_space_group_IT_number 1
_space_group_name_Hall 'P 1'
loop_
_atom_site_label
_atom_site_type_symbol
_atom_site_fract_x
_atom_site_fract_y
_atom_site_fract_z
_atom_site_occupancy
As1 As 0.000 0.000 0.000 1
P1 P 0.888 0.899 0.316 1
Au1 Au 0.099 0.116 0.683 1
C1 C 0.193 0.207 0.399 1
```

crystal system: triclinic
N(E_F): 1.3 states/eV/cell


## ii
DFT (PBE) results for AsPAuC after structural relaxation.

Structure (CIF):
```
data_AsPAuC
_cell_length_a 3.016
_cell_length_b 2.891
_cell_length_c 8.064
_cell_angle_alpha 90.00
_cell_angle_beta 100.89
_cell_angle_gamma 90.00
_space_group_name_H-M_alt 'P 1 m 1'
_space_group_IT_number 6
_space_group_name_Hall 'P -2y'
loop_
_atom_site_label
_atom_site_type_symbol
_atom_site_fract_x
_atom_site_fract_y
_atom_site_fract_z
_atom_site_occupancy
As1 As 0.000 0.000 0.000 1
P1 P 0.306 0.500 0.609 1
Au1 Au 0.637 0.000 0.271 1
C1 C 0.242 0.000 0.477 1
```

crystal system: monoclinic
N(E_F): 2.0 states/eV/cell


i is favored, and the nearest alternative lies 0.241 eV/atom above it.


## i
DFT (PBE) results for AsPAuC after structural relaxation.

Structure (CIF):
```
data_AsPAuC
_cell_length_a 9.405
_cell_length_b 2.914
_cell_length_c 6.987
_cell_angle_alpha 90.00
_cell_angle_beta 130.30
_cell_angle_gamma 90.00
_space_group_name_H-M_alt 'C 1 m 1'
_space_group_IT_number 8
_space_group_name_Hall 'C -2y'
loop_
_atom_site_label
_atom_site_type_symbol
_atom_site_fract_x
_atom_site_fract_y
_atom_site_fract_z
_atom_site_occupancy
As1 As 0.000 0.000 0.000 1
P1 P 0.091 0.000 0.735 1
Au1 Au 0.393 0.500 0.296 1
C1 C 0.240 0.500 0.883 1
```

crystal system: monoclinic
N(E_F): 3.0 states/eV/cell


## ii
DFT (PBE) results for AsPAuC after structural relaxation.

Structure (CIF):
```
data_AsPAuC
_cell_length_a 9.497
_cell_length_b 2.871
_cell_length_c 6.642
_cell_angle_alpha 90.00
_cell_angle_beta 106.68
_cell_angle_gamma 90.00
_space_group_name_H-M_alt 'C 1 m 1'
_space_group_IT_number 8
_space_group_name_Hall 'C -2y'
loop_
_atom_site_label
_atom_site_type_symbol
_atom_site_fract_x
_atom_site_fract_y
_atom_site_fract_z
_atom_site_occupancy
As1 As 0.000 0.000 0.000 1
P1 P 0.307 0.500 0.250 1
Au1 Au 0.447 0.500 0.607 1
C1 C 0.204 0.000 0.164 1
```

crystal system: monoclinic
N(E_F): 0.7 states/eV/cell


ii is favored, and the nearest alternative lies 0.011 eV/atom above it.


## i
DFT (PBE) results for CaAsAu3 after structural relaxation.

Structure (CIF):
```
data_CaAsAu3
_cell_length_a 4.986
_cell_length_b 4.986
_cell_length_c 4.986
_cell_angle_alpha 90.00
_cell_angle_beta 90.00
_cell_angle_gamma 90.00
_space_group_name_H-M_alt 'P m -3 m'
_space_group_IT_number 221
_space_group_name_Hall '-P 4 2 3'
loop_
_atom_site_label
_atom_site_type_symbol
_atom_site_fract_x
_atom_site_fract_y
_atom_site_fract_z
_atom_site_occupancy
Ca1 Ca 0.000 0.000 0.000 1
As1 As 0.500 0.500 0.500 1
Au1 Au 0.000 0.500 0.500 1
```

crystal system: cubic
N(E_F): 2.3 states/eV/cell


## ii
DFT (PBE) results for CaAsAu3 after structural relaxation.

Structure (CIF):
```
data_CaAsAu3
_cell_length_a 5.277
_cell_length_b 5.277
_cell_length_c 5.277
_cell_angle_alpha 90.00
_cell_angle_beta 90.00
_cell_angle_gamma 90.00
_space_group_name_H-M_alt 'P m -3 m'
_space_group_IT_number 221
_space_group_name_Hall '-P 4 2 3'
loop_
_atom_site_label
_atom_site_type_symbol
_atom_site_fract_x
_atom_site_fract_y
_atom_site_fract_z
_atom_site_occupancy
Ca1 Ca 0.000 0.000 0.000 1
As1 As 0.500 0.500 0.500 1
Au1 Au 0.000 0.000 0.500 1
```

crystal system: cubic
N(E_F): 5.1 states/eV/cell


i is favored, and the nearest alternative lies 1.023 eV/atom above it.


## i
DFT (PBE) results for Ca2As2Au after structural relaxation.

Structure (CIF):
```
data_Ca2As2Au
_cell_length_a 7.330
_cell_length_b 7.330
_cell_length_c 4.274
_cell_angle_alpha 90.00
_cell_angle_beta 90.00
_cell_angle_gamma 90.00
_space_group_name_H-M_alt 'P 4/m b m'
_space_group_IT_number 127
_space_group_name_Hall '-P 4 2ab'
loop_
_atom_site_label
_atom_site_type_symbol
_atom_site_fract_x
_atom_site_fract_y
_atom_site_fract_z
_atom_site_occupancy
Ca1 Ca 0.177 0.323 0.000 1
As1 As 0.125 0.625 0.500 1
Au1 Au 0.000 0.000 0.500 1
```

crystal system: tetragonal
N(E_F): 3.9 states/eV/cell


## ii
DFT (PBE) results for Ca2As2Au after structural relaxation.

Structure (CIF):
```
data_Ca2As2Au
_cell_length_a 11.334
_cell_length_b 4.333
_cell_length_c 10.800
_cell_angle_alpha 90.00
_cell_angle_beta 114.46
_cell_angle_gamma 90.00
_space_group_name_H-M_alt 'C 1 2/m 1'
_space_group_IT_number 12
_space_group_name_Hall '-C 2y'
loop_
_atom_site_label
_atom_site_type_symbol
_atom_site_fract_x
_atom_site_fract_y
_atom_site_fract_z
_atom_site_occupancy
Ca1 Ca 0.083 0.000 0.402 1
Ca2 Ca 0.193 0.500 0.162 1
As1 As 0.069 0.000 0.935 1
As2 As 0.170 0.500 0.628 1
Au1 Au 0.082 0.500 0.815 1
```

crystal system: monoclinic
N(E_F): 1.2 states/eV/cell


ii is favored, and the nearest alternative lies 0.065 eV/atom above it.